DFT (GGA-PBE) results for AcThCu10 after structural relaxation.

The structure in CIF format:
```
data_AcThCu10
_space_group_name_H-M_alt 'P 1'
_space_group_IT_number 1
_cell_length_a 4.1001
_cell_length_b 5.2533
_cell_length_c 9.0213
_cell_angle_alpha 90.00
_cell_angle_beta 90.00
_cell_angle_gamma 90.00
loop_
_space_group_symop_operation_xyz
'x,y,z'
loop_
_atom_site_label
_atom_site_type_symbol
_atom_site_fract_x
_atom_site_fract_y
_atom_site_fract_z
Ac1 Ac 0.0000 0.0000 0.0000
Th1 Th 0.0000 0.5000 0.5000
Cu1 Cu 0.0000 0.0000 0.3398
Cu2 Cu 0.0000 0.0000 0.6602
Cu3 Cu 0.0000 0.5000 0.1726
Cu4 Cu 0.0000 0.5000 0.8274
Cu5 Cu 0.5000 0.0000 0.5000
Cu6 Cu 0.5000 0.2555 0.2589
Cu7 Cu 0.5000 0.2555 0.7411
Cu8 Cu 0.5000 0.5000 0.0000
Cu9 Cu 0.5000 0.7445 0.2589
Cu10 Cu 0.5000 0.7445 0.7411
```

**Symmetry**: Pmmm, No. 47
**Total magnetic moment**: 0.0 μB per cell
**N(E_F)**: 10.45 states/eV per cell
**Formation energy from the elements**: -122 meV per atom

DFT (GGA-PBE) results for Ac2ThCu6 after structural relaxation.

The structure in CIF format:
```
data_Ac2ThCu6
_space_group_name_H-M_alt 'P 1'
_space_group_IT_number 1
_cell_length_a 7.5893
_cell_length_b 7.5893
_cell_length_c 3.9060
_cell_angle_alpha 90.00
_cell_angle_beta 90.00
_cell_angle_gamma 120.00
loop_
_space_group_symop_operation_xyz
'x,y,z'
loop_
_atom_site_label
_atom_site_type_symbol
_atom_site_fract_x
_atom_site_fract_y
_atom_site_fract_z
Ac1 Ac 0.3333 0.6667 0.0000
Ac2 Ac 0.6667 0.3333 0.0000
Th1 Th 0.0000 0.0000 0.0000
Cu1 Cu 0.0000 0.3275 0.5000
Cu2 Cu 0.0000 0.6725 0.5000
Cu3 Cu 0.3275 0.0000 0.5000
Cu4 Cu 0.3275 0.3275 0.5000
Cu5 Cu 0.6725 0.0000 0.5000
Cu6 Cu 0.6725 0.6725 0.5000
```

**Symmetry**: P6/mmm, No. 191
**Total magnetic moment**: 0.0 μB per cell
**N(E_F)**: 6.46 states/eV per cell
**Formation energy from the elements**: -171 meV per atom

DFT (GGA-PBE) results for AcThTlCu after structural relaxation.

The structure in CIF format:
```
data_AcThTlCu
_space_group_name_H-M_alt 'P 1'
_space_group_IT_number 1
_cell_length_a 5.4773
_cell_length_b 5.4773
_cell_length_c 5.4773
_cell_angle_alpha 60.00
_cell_angle_beta 60.00
_cell_angle_gamma 60.00
loop_
_space_group_symop_operation_xyz
'x,y,z'
loop_
_atom_site_label
_atom_site_type_symbol
_atom_site_fract_x
_atom_site_fract_y
_atom_site_fract_z
Ac1 Ac 0.0000 0.0000 0.0000
Th1 Th 0.5000 0.5000 0.5000
Tl1 Tl 0.7500 0.7500 0.7500
Cu1 Cu 0.2500 0.2500 0.2500
```

**Symmetry**: F-43m, No. 216
**Total magnetic moment**: 0.0 μB per cell
**N(E_F)**: 4.73 states/eV per cell
**Formation energy from the elements**: -17 meV per atom

DFT (GGA-PBE) results for AcThZnCu after structural relaxation.

The structure in CIF format:
```
data_AcThZnCu
_space_group_name_H-M_alt 'P 1'
_space_group_IT_number 1
_cell_length_a 5.2779
_cell_length_b 5.2779
_cell_length_c 5.2779
_cell_angle_alpha 60.00
_cell_angle_beta 60.00
_cell_angle_gamma 60.00
loop_
_space_group_symop_operation_xyz
'x,y,z'
loop_
_atom_site_label
_atom_site_type_symbol
_atom_site_fract_x
_atom_site_fract_y
_atom_site_fract_z
Ac1 Ac 0.0000 0.0000 0.0000
Th1 Th 0.5000 0.5000 0.5000
Zn1 Zn 0.7500 0.7500 0.7500
Cu1 Cu 0.2500 0.2500 0.2500
```

**Symmetry**: F-43m, No. 216
**Total magnetic moment**: 0.0 μB per cell
**N(E_F)**: 4.18 states/eV per cell
**Formation energy from the elements**: -58 meV per atom

DFT (GGA-PBE) results for AcTiCu2 after structural relaxation.

The structure in CIF format:
```
data_AcTiCu2
_space_group_name_H-M_alt 'P 1'
_space_group_IT_number 1
_cell_length_a 5.9792
_cell_length_b 5.9792
_cell_length_c 5.9792
_cell_angle_alpha 42.90
_cell_angle_beta 42.90
_cell_angle_gamma 42.90
loop_
_space_group_symop_operation_xyz
'x,y,z'
loop_
_atom_site_label
_atom_site_type_symbol
_atom_site_fract_x
_atom_site_fract_y
_atom_site_fract_z
Ac1 Ac 0.0000 0.0000 0.0000
Ti1 Ti 0.5000 0.5000 0.5000
Cu1 Cu 0.1922 0.1922 0.1922
Cu2 Cu 0.8078 0.8078 0.8078
```

**Energy above the lowest structure with this stoichiometry**: 0 meV per atom
**Symmetry**: R-3m, No. 166
**Total magnetic moment**: 0.0 μB per cell
**N(E_F)**: 5.44 states/eV per cell
**Formation energy from the elements**: -10 meV per atom

DFT (GGA-PBE) results for AcTiCu2 after structural relaxation.

The structure in CIF format:
```
data_AcTiCu2
_space_group_name_H-M_alt 'P 1'
_space_group_IT_number 1
_cell_length_a 3.3603
_cell_length_b 3.3603
_cell_length_c 7.1364
_cell_angle_alpha 90.00
_cell_angle_beta 90.00
_cell_angle_gamma 90.00
loop_
_space_group_symop_operation_xyz
'x,y,z'
loop_
_atom_site_label
_atom_site_type_symbol
_atom_site_fract_x
_atom_site_fract_y
_atom_site_fract_z
Ac1 Ac 0.0000 0.0000 0.0000
Ti1 Ti 0.0000 0.0000 0.5000
Cu1 Cu 0.5000 0.5000 0.3213
Cu2 Cu 0.5000 0.5000 0.6787
```

**Energy above the lowest structure with this stoichiometry**: 93 meV per atom
**Symmetry**: P4/mmm, No. 123
**Total magnetic moment**: 0.6 μB per cell
**N(E_F)**: 4.56 states/eV per cell
**Formation energy from the elements**: 83 meV per atom

- Look up the formation energy from the elements of the fifth one.
  -10 meV per atom